## w
A relaxed La5Y2Tm crystal. Source: the Alexandria database, functional GGA-PBE.

total magnetic moment	0.000	μB/atom
space-group type	C2/c
crystal system	monoclinic

abc: 13.988 13.988 6.452
angles: 91.83 91.83 153.46
Fractional coordinates of all 16 atoms:
La: 0.112 0.478 0.989
La: 0.127 0.873 0.750
La: 0.166 0.358 0.685
La: 0.358 0.166 0.185
La: 0.478 0.112 0.489
La: 0.522 0.888 0.511
La: 0.642 0.834 0.815
La: 0.834 0.642 0.315
La: 0.873 0.127 0.250
La: 0.888 0.522 0.011
Y: 0.000 0.000 0.000
Y: 0.000 0.000 0.500
Y: 0.000 0.500 0.500
Y: 0.500 0.000 0.000
Tm: 0.460 0.540 0.250
Tm: 0.540 0.460 0.750


## x
A relaxed La5Y2Tm crystal. Source: the Alexandria database, functional GGA-PBE.

total magnetic moment	0.000	μB/atom
space-group type	Cmcm
crystal system	orthorhombic

abc: 6.712 6.712 16.516
angles: 90.00 90.00 129.75
Fractional coordinates of all 16 atoms:
La: 0.029 0.971 0.750
La: 0.112 0.888 0.053
La: 0.112 0.888 0.447
La: 0.421 0.579 0.093
La: 0.421 0.579 0.407
La: 0.579 0.421 0.593
La: 0.579 0.421 0.907
La: 0.888 0.112 0.553
La: 0.888 0.112 0.947
La: 0.971 0.029 0.250
Y: 0.275 0.725 0.636
Y: 0.275 0.725 0.864
Y: 0.725 0.275 0.136
Y: 0.725 0.275 0.364
Tm: 0.251 0.749 0.250
Tm: 0.749 0.251 0.750


Referenced to the most stable arrangement, the calculated values in kJ/mol of atoms are w 10.2; x 0.0.